# YBiCl6 (PBE, optimized geometry)
data_YBiCl6
_chemical_formula_sum 'Y3 Bi3 Cl18'
_cell_length_a 6.7669
_cell_length_b 6.7669
_cell_length_c 18.4780
_cell_angle_alpha 90.00
_cell_angle_beta 90.00
_cell_angle_gamma 120.00
_space_group_name_H-M_alt 'R -3'
_space_group_IT_number 148
_space_group_name_Hall '-R 3'
loop_
_atom_site_label
_atom_site_type_symbol
_atom_site_fract_x
_atom_site_fract_y
_atom_site_fract_z
Y1 Y 0.0000 0.0000 0.0000
Bi1 Bi 0.0000 0.0000 0.5000
Cl1 Cl 0.0061 0.6597 0.7489
# E_form (uncorrected)	-154.27	kJ per mole of atoms
# energy above the most stable polymorph in this dataset	0.004	eV per atom

# AcZn2Ga (PBE, optimized geometry)
data_AcZn2Ga
_chemical_formula_sum 'Ac1 Zn2 Ga1'
_cell_length_a 4.651
_cell_length_b 4.651
_cell_length_c 4.519
_cell_angle_alpha 90.00
_cell_angle_beta 90.00
_cell_angle_gamma 90.00
_space_group_name_H-M_alt 'P 4/m m m'
_space_group_IT_number 123
_space_group_name_Hall '-P 4 2'
loop_
_atom_site_label
_atom_site_type_symbol
_atom_site_fract_x
_atom_site_fract_y
_atom_site_fract_z
Ac1 Ac 0.000 0.000 0.000
Zn1 Zn 0.000 0.500 0.500
Ga1 Ga 0.500 0.500 0.000
# ΔH_f (0 K)	-0.5	eV/f.u.

# MnFeOs2 (PBE, optimized geometry)
data_MnFeOs2
_chemical_formula_sum 'Mn1 Fe1 Os2'
_cell_length_a 2.641
_cell_length_b 2.641
_cell_length_c 7.262
_cell_angle_alpha 90.00
_cell_angle_beta 90.00
_cell_angle_gamma 90.00
_space_group_name_H-M_alt 'P 4/m m m'
_space_group_IT_number 123
_space_group_name_Hall '-P 4 2'
loop_
_atom_site_label
_atom_site_type_symbol
_atom_site_fract_x
_atom_site_fract_y
_atom_site_fract_z
Mn1 Mn 0.000 0.000 0.000
Fe1 Fe 0.000 0.000 0.500
Os1 Os 0.500 0.500 0.252
# ΔH_f (0 K)	0.5	eV/f.u.

# Sr3Li2Pt7 (PBE, optimized geometry)
data_Sr3Li2Pt7
_chemical_formula_sum 'Sr9 Li6 Pt21'
_cell_length_a 5.5307
_cell_length_b 5.5307
_cell_length_c 26.0831
_cell_angle_alpha 90.00
_cell_angle_beta 90.00
_cell_angle_gamma 120.00
_space_group_name_H-M_alt 'R -3 m'
_space_group_IT_number 166
_space_group_name_Hall '-R 3 2"'
loop_
_atom_site_label
_atom_site_type_symbol
_atom_site_fract_x
_atom_site_fract_y
_atom_site_fract_z
Sr1 Sr 0.0000 0.0000 0.0000
Sr2 Sr 0.0000 0.0000 0.1406
Li1 Li 0.0000 0.0000 0.3349
Pt1 Pt 0.0000 0.0000 0.5000
Pt2 Pt 0.0033 0.5016 0.9200
# ΔH_f (0 K)	-9.5	eV/f.u.

# AlInTe2 (PBE, optimized geometry)
data_AlInTe2
_chemical_formula_sum 'Al2 In2 Te4'
_cell_length_a 3.961
_cell_length_b 5.821
_cell_length_c 10.067
_cell_angle_alpha 90.00
_cell_angle_beta 90.00
_cell_angle_gamma 90.00
_space_group_name_H-M_alt 'C m m 2'
_space_group_IT_number 35
loop_
_space_group_symop_operation_xyz
'x,y,z'
'-x,-y,z'
'-x,y,z'
'x,-y,z'
'x+1/2,y+1/2,z'
'-x+1/2,-y+1/2,z'
'-x+1/2,y+1/2,z'
'x+1/2,-y+1/2,z'
loop_
_atom_site_label
_atom_site_type_symbol
_atom_site_fract_x
_atom_site_fract_y
_atom_site_fract_z
Al1 Al 0.000 0.000 0.000
In1 In 0.000 0.500 0.217
Te1 Te 0.000 0.000 0.441
Te2 Te 0.000 0.500 0.814
# E_form (uncorrected)	5.54	kJ per mole of atoms

# RbNa2RuCl8 (PBE, optimized geometry)
data_RbNa2RuCl8
_chemical_formula_sum 'Rb1 Na2 Ru1 Cl8'
_cell_length_a 5.910
_cell_length_b 6.310
_cell_length_c 9.162
_cell_angle_alpha 90.05
_cell_angle_beta 90.24
_cell_angle_gamma 93.68
_space_group_name_H-M_alt 'P -1'
_space_group_IT_number 2
loop_
_space_group_symop_operation_xyz
'x,y,z'
'-x,-y,-z'
loop_
_atom_site_label
_atom_site_type_symbol
_atom_site_fract_x
_atom_site_fract_y
_atom_site_fract_z
Rb1 Rb 0.000 0.000 0.000
Na1 Na 0.499 0.500 0.735
Ru1 Ru 0.000 0.000 0.500
Cl1 Cl 0.227 0.864 0.318
Cl2 Cl 0.228 0.320 0.499
Cl3 Cl 0.229 0.867 0.683
Cl4 Cl 0.251 0.494 0.000
# E_form (uncorrected)	-104.17	kJ per mole of atoms

# TaSe2BrN (PBE, optimized geometry)
data_TaSe2BrN
_chemical_formula_sum 'Ta1 Se2 Br1 N1'
_cell_length_a 5.186
_cell_length_b 5.186
_cell_length_c 3.960
_cell_angle_alpha 90.00
_cell_angle_beta 90.00
_cell_angle_gamma 90.00
_space_group_name_H-M_alt 'P 4/m m m'
_space_group_IT_number 123
_space_group_name_Hall '-P 4 2'
loop_
_atom_site_label
_atom_site_type_symbol
_atom_site_fract_x
_atom_site_fract_y
_atom_site_fract_z
Ta1 Ta 0.000 0.000 0.000
Se1 Se 0.000 0.500 0.000
Br1 Br 0.500 0.500 0.500
N1 N 0.000 0.000 0.500
# E_form (uncorrected)	14.24	kJ per mole of atoms
# energy above the most stable polymorph in this dataset	0.000	eV per atom

# Mg7Si4 (PBE, optimized geometry)
data_Mg7Si4
_chemical_formula_sum 'Mg14 Si8'
_cell_length_a 5.771
_cell_length_b 6.086
_cell_length_c 12.786
_cell_angle_alpha 84.84
_cell_angle_beta 83.95
_cell_angle_gamma 89.95
_space_group_name_H-M_alt 'P 1'
_space_group_IT_number 1
loop_
_space_group_symop_operation_xyz
'x,y,z'
loop_
_atom_site_label
_atom_site_type_symbol
_atom_site_fract_x
_atom_site_fract_y
_atom_site_fract_z
Mg1 Mg 0.000 0.000 0.000
Mg2 Mg 0.025 0.708 0.785
Mg3 Mg 0.083 0.045 0.576
Mg4 Mg 0.128 0.705 0.208
Mg5 Mg 0.164 0.496 0.000
Mg6 Mg 0.240 0.218 0.786
Mg7 Mg 0.271 0.551 0.556
Mg8 Mg 0.465 0.154 0.103
Mg9 Mg 0.567 0.887 0.654
Mg10 Mg 0.614 0.171 0.446
Mg11 Mg 0.650 0.649 0.081
Mg12 Mg 0.741 0.399 0.653
Mg13 Mg 0.816 0.676 0.436
Mg14 Mg 0.925 0.210 0.219
Si1 Si 0.174 0.364 0.376
Si2 Si 0.193 0.966 0.369
Si3 Si 0.440 0.895 0.925
Si4 Si 0.488 0.576 0.824
Si5 Si 0.549 0.484 0.282
Si6 Si 0.567 0.885 0.278
Si7 Si 0.764 0.072 0.814
Si8 Si 0.766 0.377 0.922
# E_form (uncorrected)	3.91	kJ per mole of atoms
# energy above the most stable polymorph in this dataset	0.024	eV per atom

# Cs3NbPt (PBE, optimized geometry)
data_Cs3NbPt
_chemical_formula_sum 'Cs3 Nb1 Pt1'
_cell_length_a 6.666
_cell_length_b 6.666
_cell_length_c 6.666
_cell_angle_alpha 90.00
_cell_angle_beta 90.00
_cell_angle_gamma 90.00
_space_group_name_H-M_alt 'P m -3 m'
_space_group_IT_number 221
_space_group_name_Hall '-P 4 2 3'
loop_
_atom_site_label
_atom_site_type_symbol
_atom_site_fract_x
_atom_site_fract_y
_atom_site_fract_z
Cs1 Cs 0.000 0.000 0.500
Nb1 Nb 0.000 0.000 0.000
Pt1 Pt 0.500 0.500 0.500
# ΔH_f (0 K)	7.1	eV/f.u.

# Tl2Cu2Ge (PBE, optimized geometry)
data_Tl2Cu2Ge
_chemical_formula_sum 'Tl4 Cu4 Ge2'
_cell_length_a 4.393
_cell_length_b 4.393
_cell_length_c 11.445
_cell_angle_alpha 90.00
_cell_angle_beta 90.00
_cell_angle_gamma 90.00
_space_group_name_H-M_alt 'I 4/m m m'
_space_group_IT_number 139
_space_group_name_Hall '-I 4 2'
loop_
_atom_site_label
_atom_site_type_symbol
_atom_site_fract_x
_atom_site_fract_y
_atom_site_fract_z
Tl1 Tl 0.000 0.500 0.250
Cu1 Cu 0.000 0.000 0.101
Ge1 Ge 0.000 0.000 0.500
# ΔH_f (0 K)	2.7	eV/f.u.
# energy above the most stable polymorph in this dataset	0.273	eV per atom

# Ca2FeHg (PBE, optimized geometry)
data_Ca2FeHg
_chemical_formula_sum 'Ca2 Fe1 Hg1'
_cell_length_a 3.575
_cell_length_b 3.575
_cell_length_c 7.802
_cell_angle_alpha 90.00
_cell_angle_beta 90.00
_cell_angle_gamma 90.00
_space_group_name_H-M_alt 'P 4/m m m'
_space_group_IT_number 123
_space_group_name_Hall '-P 4 2'
loop_
_atom_site_label
_atom_site_type_symbol
_atom_site_fract_x
_atom_site_fract_y
_atom_site_fract_z
Ca1 Ca 0.000 0.000 0.235
Fe1 Fe 0.500 0.500 0.000
Hg1 Hg 0.500 0.500 0.500
# ΔH_f (0 K)	0.3	eV/f.u.

# HoNi12Ge6 (PBE, optimized geometry)
data_HoNi12Ge6
_chemical_formula_sum 'Ho3 Ni36 Ge18'
_cell_length_a 10.6351
_cell_length_b 10.6351
_cell_length_c 7.9541
_cell_angle_alpha 90.00
_cell_angle_beta 90.00
_cell_angle_gamma 120.00
_space_group_name_H-M_alt 'R -3 m'
_space_group_IT_number 166
_space_group_name_Hall '-R 3 2"'
loop_
_atom_site_label
_atom_site_type_symbol
_atom_site_fract_x
_atom_site_fract_y
_atom_site_fract_z
Ho1 Ho 0.0000 0.0000 0.0000
Ni1 Ni 0.0000 0.3820 0.5000
Ni2 Ni 0.0845 0.1689 0.3250
Ge1 Ge 0.0370 0.5185 0.2575
# ΔH_f (0 K)	-4.9	eV/f.u.

# Hg2WBr (PBE, optimized geometry)
data_Hg2WBr
_chemical_formula_sum 'Hg2 W1 Br1'
_cell_length_a 3.079
_cell_length_b 5.826
_cell_length_c 4.970
_cell_angle_alpha 90.00
_cell_angle_beta 93.81
_cell_angle_gamma 90.00
_space_group_name_H-M_alt 'P 1 2/m 1'
_space_group_IT_number 10
loop_
_space_group_symop_operation_xyz
'x,y,z'
'-x,-y,-z'
'-x,y,-z'
'x,-y,z'
loop_
_atom_site_label
_atom_site_type_symbol
_atom_site_fract_x
_atom_site_fract_y
_atom_site_fract_z
Hg1 Hg 0.226 0.000 0.256
W1 W 0.500 0.500 0.500
Br1 Br 0.500 0.500 0.000
# E_form (uncorrected)	88.41	kJ per mole of atoms
# energy above the most stable polymorph in this dataset	0.420	eV per atom

# NiPRu (PBE, optimized geometry)
data_NiPRu
_chemical_formula_sum 'Ni4 P4 Ru4'
_cell_length_a 5.495
_cell_length_b 5.495
_cell_length_c 5.495
_cell_angle_alpha 90.00
_cell_angle_beta 90.00
_cell_angle_gamma 90.00
_space_group_name_H-M_alt 'F -4 3 m'
_space_group_IT_number 216
_space_group_name_Hall 'F -4 2 3'
loop_
_atom_site_label
_atom_site_type_symbol
_atom_site_fract_x
_atom_site_fract_y
_atom_site_fract_z
Ni1 Ni 0.000 0.000 0.000
P1 P 0.250 0.250 0.250
Ru1 Ru 0.250 0.250 0.750
# ΔH_f (0 K)	0.8	eV/f.u.

# CeGa4Tc (PBE, optimized geometry)
data_CeGa4Tc
_chemical_formula_sum 'Ce2 Ga8 Tc2'
_cell_length_a 7.728
_cell_length_b 4.239
_cell_length_c 6.861
_cell_angle_alpha 90.00
_cell_angle_beta 90.00
_cell_angle_gamma 90.00
_space_group_name_H-M_alt 'P m m a'
_space_group_IT_number 51
loop_
_space_group_symop_operation_xyz
'x,y,z'
'-x,-y,-z'
'-x+1/2,-y,z'
'x+1/2,y,-z'
'x+1/2,-y,-z'
'-x+1/2,y,z'
'-x,y,-z'
'x,-y,z'
loop_
_atom_site_label
_atom_site_type_symbol
_atom_site_fract_x
_atom_site_fract_y
_atom_site_fract_z
Ce1 Ce 0.250 0.000 0.128
Ga1 Ga 0.000 0.000 0.500
Ga2 Ga 0.062 0.500 0.817
Ga3 Ga 0.250 0.500 0.455
Tc1 Tc 0.250 0.000 0.715
# ΔH_f (0 K)	-2.5	eV/f.u.

# KNa7Tl2 (PBE, optimized geometry)
data_KNa7Tl2
_chemical_formula_sum 'K2 Na14 Tl4'
_cell_length_a 11.615
_cell_length_b 14.295
_cell_length_c 4.919
_cell_angle_alpha 90.00
_cell_angle_beta 90.00
_cell_angle_gamma 90.00
_space_group_name_H-M_alt 'C m m m'
_space_group_IT_number 65
_space_group_name_Hall '-C 2 2'
loop_
_atom_site_label
_atom_site_type_symbol
_atom_site_fract_x
_atom_site_fract_y
_atom_site_fract_z
K1 K 0.000 0.000 0.000
Na1 Na 0.000 0.339 0.000
Na2 Na 0.000 0.500 0.500
Na3 Na 0.240 0.365 0.500
Tl1 Tl 0.000 0.209 0.500
# ΔH_f (0 K)	0.5	eV/f.u.

# Tb2NO (PBE, optimized geometry)
data_Tb2NO
_chemical_formula_sum 'Tb16 N8 O8'
_cell_length_a 6.913
_cell_length_b 13.861
_cell_length_c 5.990
_cell_angle_alpha 90.00
_cell_angle_beta 125.19
_cell_angle_gamma 90.00
_space_group_name_H-M_alt 'C 1 2/c 1'
_space_group_IT_number 15
loop_
_space_group_symop_operation_xyz
'x,y,z'
'-x,-y,-z'
'-x,y,-z+1/2'
'x,-y,z+1/2'
'x+1/2,y+1/2,z'
'-x+1/2,-y+1/2,-z'
'-x+1/2,y+1/2,-z+1/2'
'x+1/2,-y+1/2,z+1/2'
loop_
_atom_site_label
_atom_site_type_symbol
_atom_site_fract_x
_atom_site_fract_y
_atom_site_fract_z
Tb1 Tb 0.240 0.062 0.242
Tb2 Tb 0.245 0.187 0.741
N1 N 0.000 0.062 0.750
N2 N 0.000 0.187 0.250
O1 O 0.000 0.311 0.750
O2 O 0.000 0.436 0.250
# E_form (uncorrected)	-225.95	kJ per mole of atoms
# energy above the most stable polymorph in this dataset	0.000	eV per atom

# MnRhBr2 (PBE, optimized geometry)
data_MnRhBr2
_chemical_formula_sum 'Mn3 Rh3 Br6'
_cell_length_a 3.5279
_cell_length_b 3.5279
_cell_length_c 25.7949
_cell_angle_alpha 90.00
_cell_angle_beta 90.00
_cell_angle_gamma 120.00
_space_group_name_H-M_alt 'R 3 m'
_space_group_IT_number 160
_space_group_name_Hall 'R 3 -2"'
loop_
_atom_site_label
_atom_site_type_symbol
_atom_site_fract_x
_atom_site_fract_y
_atom_site_fract_z
Mn1 Mn 0.0000 0.0000 0.0000
Rh1 Rh 0.0000 0.0000 0.7311
Br1 Br 0.0000 0.0000 0.2690
Br2 Br 0.0000 0.0000 0.4587
# E_form (uncorrected)	-9.24	kJ per mole of atoms
# energy above the most stable polymorph in this dataset	0.047	eV per atom

# Ga2PtPb2 (PBE, optimized geometry)
data_Ga2PtPb2
_chemical_formula_sum 'Ga4 Pt2 Pb4'
_cell_length_a 6.677
_cell_length_b 6.677
_cell_length_c 5.087
_cell_angle_alpha 90.00
_cell_angle_beta 90.00
_cell_angle_gamma 90.00
_space_group_name_H-M_alt 'P 4/m b m'
_space_group_IT_number 127
_space_group_name_Hall '-P 4 2ab'
loop_
_atom_site_label
_atom_site_type_symbol
_atom_site_fract_x
_atom_site_fract_y
_atom_site_fract_z
Ga1 Ga 0.142 0.358 0.000
Pt1 Pt 0.000 0.000 0.000
Pb1 Pb 0.179 0.679 0.500
# ΔH_f (0 K)	-0.7	eV/f.u.

# Y2Ho2Mg15 (PBE, optimized geometry)
data_Y2Ho2Mg15
_chemical_formula_sum 'Y6 Ho6 Mg45'
_cell_length_a 10.4596
_cell_length_b 10.4596
_cell_length_c 15.2510
_cell_angle_alpha 90.00
_cell_angle_beta 90.00
_cell_angle_gamma 120.00
_space_group_name_H-M_alt 'R -3 m'
_space_group_IT_number 166
_space_group_name_Hall '-R 3 2"'
loop_
_atom_site_label
_atom_site_type_symbol
_atom_site_fract_x
_atom_site_fract_y
_atom_site_fract_z
Y1 Y 0.0000 0.0000 0.1703
Ho1 Ho 0.0000 0.0000 0.3999
Mg1 Mg 0.0000 0.2991 0.5000
Mg2 Mg 0.0000 0.5000 0.0000
Mg3 Mg 0.0096 0.5048 0.6472
# ΔH_f (0 K)	0.4	eV/f.u.

| no. | mass density (g cm⁻³) |
| --- | --- |
| 1 | 3.47 |
| 2 | 7.26 |
| 3 | 16.10 |
| 4 | 11.84 |
| 5 | 5.68 |
| 6 | 2.51 |
| 7 | 6.75 |
| 8 | 2.11 |
| 9 | 3.85 |
| 10 | 9.15 |
| 11 | 5.61 |
| 12 | 8.34 |
| 13 | 12.41 |
| 14 | 7.64 |
| 15 | 7.64 |
| 16 | 2.48 |
| 17 | 9.85 |
| 18 | 5.69 |
| 19 | 10.97 |
| 20 | 3.01 |